An optimized crystal structure of PWCO2. Source: Alexandria via LeMat-Bulk, functional PBE+U.

Structure (POSCAR):
```
PWCO2
1.0
3.748 0.000 0.000
0.000 3.748 0.000
0.000 0.000 3.787
P C O W
1 1 2 1
direct
0.000 0.000 0.500
0.000 0.000 0.000
0.000 0.500 0.000
0.500 0.000 0.000
0.500 0.500 0.500
```

Values from the calculation:
- DOS at the Fermi energy (states/eV per cell) = 2.0
- crystal system = tetragonal
- space group = P4/mmm (123)
- total moment (μB/cell) = 1.54
- energy above the most stable polymorph in this dataset (eV/f.u.) = 2.999